## PaCdSnHg (PBE-GGA)

Data for an optimized crystal structure of PaCdSnHg.

Geometry as POSCAR:
```
PaCdSnHg
1.0
0.0000 3.6710 3.6710
3.6710 0.0000 3.6710
3.6710 3.6710 0.0000
Pa Cd Sn Hg
1 1 1 1
Direct
0.0000 0.0000 0.0000
0.5000 0.5000 0.5000
0.2500 0.2500 0.2500
0.7500 0.7500 0.7500
```

Properties
Formation energy from the elements   34 meV per atom
Raw total energy   -14.6 eV/cell
Calculated volume   99 Å³ per cell
Size of the total moment   0.856 μB per cell